Record 1
A geometry-optimized Na2CoAgCl6 structure. Source: the Alexandria database, functional PBE.

Summary:
Formation energy (no corrections)   -1.001 eV/atom

a = 6.7196 Å, b = 6.7196 Å, c = 6.8949 Å
α = 60.83°, β = 60.83°, γ = 59.99°
Last column: nearest neighbours and their distance in Å.
Fractional positions:
Na 0.5357 0.5357 0.3930  6 Cl 2.80-2.92
Na 0.0237 0.0237 0.9289  6 Cl 2.77-2.89
Co 0.3252 0.3252 0.0243  6 Cl 2.29-2.30
Ag 0.8177 0.8177 0.5469  6 Cl 2.67-2.79
Cl 0.5522 0.1998 0.2525  1 Co 2.30
Cl 0.1998 0.9954 0.2526  1 Co 2.30
Cl 0.9954 0.5522 0.2526  1 Co 2.30
Cl 0.4429 0.6580 0.7881  1 Co 2.29
Cl 0.6581 0.1109 0.7882  1 Co 2.29
Cl 0.1109 0.4429 0.7882  1 Co 2.29


Record 2
A geometry-optimized K3SiS3 structure. Source: the Alexandria database, functional PBE.

Summary:
Formation energy (no corrections)   -0.871 eV/atom

a = 6.3087 Å, b = 9.4513 Å, c = 9.4510 Å
α = 119.84°, β = 90.00°, γ = 90.00°
Last column: nearest neighbours and their distance in Å.
Fractional positions:
K 0.2500 0.6268 0.8130  4 S 3.17-3.21
K 0.2500 0.1862 0.3732  4 S 3.17-3.21
K 0.2500 0.1863 0.8145  4 S 3.17-3.21
K 0.7500 0.3732 0.1870  4 S 3.17-3.21
K 0.7500 0.8138 0.6268  4 S 3.17-3.21
K 0.7500 0.8137 0.1855  4 S 3.17-3.21
Si 0.7500 0.3330 0.6670  3 S 2.11
Si 0.2500 0.6670 0.3330  3 S 2.11
S 0.7500 0.5904 0.7950  1 Si 2.11
S 0.7500 0.2042 0.4095  1 Si 2.11
S 0.7500 0.2044 0.7963  1 Si 2.11
S 0.2500 0.4096 0.2050  1 Si 2.11
S 0.2500 0.7958 0.5905  1 Si 2.11
S 0.2500 0.7956 0.2037  1 Si 2.11


Record 3
A geometry-optimized Fe3Br structure. Source: the Alexandria database, functional PBE.

Summary:
Formation energy (no corrections)   0.587 eV/atom

a = 5.7906 Å, b = 4.6411 Å, c = 8.7375 Å
α = 90.00°, β = 90.00°, γ = 90.00°
Last column: nearest neighbours and their distance in Å.
Fractional positions:
Fe 0.8292 0.0973 0.7500  2 Br 2.37-2.38, 6 Fe 2.50-2.63
Fe 0.3292 0.4027 0.2500  2 Br 2.37-2.38, 6 Fe 2.50-2.63
Fe 0.6708 0.5973 0.7500  2 Br 2.37-2.38, 6 Fe 2.50-2.63
Fe 0.1708 0.9027 0.2500  2 Br 2.37-2.38, 6 Fe 2.50-2.63
Fe 0.6377 0.2962 0.0022  5 Fe 2.47-2.66, 1 Br 2.60
Fe 0.1377 0.2038 0.9978  5 Fe 2.47-2.66, 1 Br 2.60
Fe 0.8623 0.7962 0.4978  5 Fe 2.47-2.66, 1 Br 2.60
Fe 0.3623 0.7038 0.5022  5 Fe 2.47-2.66, 1 Br 2.60
Fe 0.3623 0.7038 0.9978  5 Fe 2.47-2.66, 1 Br 2.60
Fe 0.8623 0.7962 0.0022  5 Fe 2.47-2.66, 1 Br 2.60
Fe 0.1377 0.2038 0.5022  5 Fe 2.47-2.66, 1 Br 2.60
Fe 0.6377 0.2962 0.4978  5 Fe 2.47-2.66, 1 Br 2.60
Br 0.4246 0.0042 0.7500  4 Fe 2.37-2.60
Br 0.9246 0.4958 0.2500  4 Fe 2.37-2.60
Br 0.0754 0.5042 0.7500  4 Fe 2.37-2.60
Br 0.5754 0.9958 0.2500  4 Fe 2.37-2.60


Record 4
A geometry-optimized Nb2BSbIr structure. Source: the Alexandria database, functional PBE.

Summary:
Formation energy (no corrections)   0.554 eV/atom

a = 5.0194 Å, b = 3.9461 Å, c = 5.0194 Å
α = 90.00°, β = 90.00°, γ = 90.00°
Last column: nearest neighbours and their distance in Å.
Fractional positions:
Sb 0.5000 0.5000 0.5000  8 Nb 3.19, 4 B 3.55
Nb 0.0000 0.0000 0.5000  2 Ir 2.51
Nb 0.5000 0.0000 0.0000  2 Ir 2.51
Ir 0.0000 0.0000 0.0000  2 B 1.97
B 0.0000 0.5000 0.0000  2 Ir 1.97


Record 5
A geometry-optimized AcPr2NdSe4 structure. Source: the Alexandria database, functional PBE.

Summary:
Formation energy (no corrections)   -1.839 eV/atom

a = 4.2675 Å, b = 7.4637 Å, c = 7.5175 Å
α = 71.01°, β = 90.00°, γ = 90.00°
Last column: nearest neighbours and their distance in Å.
Fractional positions:
Ac 0.5000 0.5000 0.0000  6 Se 3.09-3.10
Pr 0.0000 0.0000 0.0000  6 Se 3.06
Pr 0.5000 0.0000 0.5000  6 Se 3.00
Nd 0.0000 0.5000 0.5000  6 Se 3.03-3.04
Se 0.0000 0.7568 0.7410  3 Pr 3.00-3.06, 1 Nd 3.04, 2 Ac 3.10
Se 0.0000 0.2432 0.2590  3 Pr 3.00-3.06, 1 Nd 3.04, 2 Ac 3.10
Se 0.5000 0.7515 0.2559  3 Pr 3.00-3.06, 2 Nd 3.03, 1 Ac 3.09
Se 0.5000 0.2485 0.7441  3 Pr 3.00-3.06, 2 Nd 3.03, 1 Ac 3.09


Record 6
A geometry-optimized Dy4TmTh structure. Source: the Alexandria database, functional PBE.

Summary:
E   -4.31 eV/atom

a = 3.3957 Å, b = 8.2400 Å, c = 8.2400 Å
α = 91.19°, β = 90.00°, γ = 90.00°
Last column: nearest neighbours and their distance in Å.
Fractional positions:
Dy 0.5000 0.2691 0.7309  1 Th 3.17, 2 Tm 3.21, 2 Dy 3.40
Dy 0.0000 0.7610 0.7609  1 Tm 3.01, 2 Th 3.24
Dy 0.0000 0.2390 0.2391  1 Tm 3.01, 2 Th 3.24
Dy 0.5000 0.7309 0.2691  1 Th 3.17, 2 Tm 3.21, 2 Dy 3.40
Tm 0.0000 0.5000 0.5000  6 Dy 3.01-3.21
Th 0.5000 0.0000 0.0000  6 Dy 3.17-3.24, 2 Th 3.40


Number 5 is which compound?
AcPr2NdSe4


Number 5 is which compound?
AcPr2NdSe4